1.
TcSbTe2As | PBE | optimized geometry

## Properties
Spin magnetization (μB per cell): 0.0
Symmetry: P4/mmm
Distance to the lowest polymorph of the same formula (eV per atom): 0.000
Uncorrected formation energy (eV per atom): 0.6530

Cell and atoms, written as POSCAR:
```
TcSbTe2As
1.0
5.1482 0.0000 0.0000
0.0000 5.1482 0.0000
0.0000 0.0000 5.1911
Tc Sb Te As
1 1 2 1
Cartesian
0.0000 0.0000 0.0000
0.0000 0.0000 2.5956
0.0000 2.5741 0.0000
2.5741 0.0000 0.0000
2.5741 2.5741 2.5956
```

2.
KHoHgBr6 | PBE | optimized geometry

## Properties
Spin magnetization (μB per cell): 0.0
Symmetry: P-31c
Uncorrected formation energy (eV per atom): -1.3622

Cell and atoms, written as POSCAR:
```
KHoHgBr6
1.0
7.3193 0.0000 0.0000
-3.6596 6.3387 0.0000
0.0000 0.0000 14.6168
K Ho Hg Br
2 2 2 12
Cartesian
0.0000 0.0000 0.0000
0.0000 0.0000 7.3084
0.0000 4.2258 3.6542
3.6596 2.1129 10.9626
0.0000 4.2258 10.9626
3.6596 2.1129 3.6542
-1.3213 2.3703 2.0151
-2.2675 4.0092 5.2933
1.3213 2.3703 5.2933
-0.9462 6.2978 2.0151
2.7134 0.0409 9.3235
1.3921 2.3295 12.6017
2.2675 4.0092 2.0151
0.9462 6.2978 5.2933
4.6058 0.0409 12.6017
2.3383 3.9683 9.3235
5.9272 2.3295 9.3235
4.9810 3.9683 12.6017
```

3.
Rb2ZrSe3 | PBE | optimized geometry

## Properties
Spin magnetization (μB per cell): 0.0
Symmetry: C2/m
Uncorrected formation energy (eV per atom): -1.2968

Cell and atoms, written as POSCAR:
```
Rb2ZrSe3
1.0
3.7145 -6.4509 0.0000
3.7145 6.4509 0.0000
-2.5865 0.0000 7.9868
Rb Zr Se
4 2 6
Cartesian
0.0000 0.0000 0.0000
2.4212 4.5069 3.9934
2.4212 0.0000 3.9934
2.4212 -4.5069 3.9934
3.7145 2.1744 0.0000
3.7145 -2.1744 0.0000
1.4582 2.5388 1.5618
0.3296 0.0000 6.4642
1.4582 -2.5388 1.5618
3.3843 2.5388 6.4250
4.5128 0.0000 1.5226
3.3843 -2.5388 6.4250
```